Run a
This record from the Alexandria database describes a relaxed PrSm4Tl crystal. The functional is PBE.

Unit cell a=3.6818 b=3.6818 c=14.5211 alpha=90.00 beta=90.00 gamma=90.00
Last column: nearest neighbours and their distance in Å.
Atoms (fractional coordinates):
Pr (0.0000, 0.0000, 0.0000)  8 Sm 3.68, 4 Pr 3.68
Sm (0.5000, 0.5000, 0.1793)  8 Sm 3.64-3.68, 4 Pr 3.68
Sm (0.0000, 0.0000, 0.6460)  4 Tl 3.36, 8 Sm 3.64-3.68
Sm (0.0000, 0.0000, 0.3540)  4 Tl 3.36, 8 Sm 3.64-3.68
Sm (0.5000, 0.5000, 0.8207)  8 Sm 3.64-3.68, 4 Pr 3.68
Tl (0.5000, 0.5000, 0.5000)  8 Sm 3.36, 4 Tl 3.68

D(E_F), states/eV/atom: 1.353
Crystal system: tetragonal



Run b
This record from the Alexandria database describes a relaxed PrSm4Tl crystal. The functional is PBE.

Unit cell a=6.6040 b=9.1742 c=8.4438 alpha=112.78 beta=100.04 gamma=113.52
Last column: nearest neighbours and their distance in Å.
Atoms (fractional coordinates):
Pr (0.3387, 0.5887, 0.1775)  8 Sm 3.54-3.70
Pr (0.6613, 0.4113, 0.8225)  8 Sm 3.54-3.70
Sm (0.0386, 0.1607, 0.7547)  3 Sm 3.33-3.67, 2 Tl 3.38-3.40, 2 Pr 3.54-3.62
Sm (0.7587, 0.7150, 0.6213)  2 Tl 3.28, 4 Sm 3.33-3.66
Sm (0.2161, 0.5940, 0.7547)  3 Sm 3.33-3.67, 2 Tl 3.38-3.40, 2 Pr 3.54-3.62
Sm (0.3626, 0.9063, 0.6213)  2 Tl 3.28, 4 Sm 3.33-3.66
Sm (0.6374, 0.0937, 0.3787)  2 Tl 3.28, 4 Sm 3.33-3.66
Sm (0.7839, 0.4060, 0.2453)  3 Sm 3.33-3.67, 2 Tl 3.38-3.40, 2 Pr 3.54-3.62
Sm (0.2413, 0.2850, 0.3787)  2 Tl 3.28, 4 Sm 3.33-3.66
Sm (0.9614, 0.8393, 0.2453)  3 Sm 3.33-3.67, 2 Tl 3.38-3.40, 2 Pr 3.54-3.62
Tl (0.2503, 0.0003, 0.0007)  8 Sm 3.28-3.40, 2 Tl 3.30
Tl (0.7497, 0.9997, 0.9993)  8 Sm 3.28-3.40, 2 Tl 3.30

D(E_F), states/eV/atom: 1.233
Crystal system: monoclinic



Energy ordering: run a at the bottom, the next structure 71 meV/atom above.



Run a
This record from the Alexandria database describes a relaxed Pr6Sm2Tl crystal. The functional is PBE.

Unit cell a=11.5524 b=6.5663 c=11.5524 alpha=106.40 beta=47.64 gamma=106.40
Last column: nearest neighbours and their distance in Å.
Atoms (fractional coordinates):
Pr (0.3492, 0.5560, 0.4937)  2 Tl 3.41-3.49, 6 Pr 3.51-3.64, 1 Sm 3.69
Pr (0.5063, 0.9440, 0.6508)  2 Tl 3.41-3.49, 6 Pr 3.51-3.64, 1 Sm 3.69
Pr (0.6508, 0.4440, 0.5063)  2 Tl 3.41-3.49, 6 Pr 3.51-3.64, 1 Sm 3.69
Pr (0.4937, 0.0560, 0.3492)  2 Tl 3.41-3.49, 6 Pr 3.51-3.64, 1 Sm 3.69
Pr (0.0822, 0.0826, 0.5824)  5 Pr 3.31-3.58, 1 Tl 3.37, 4 Sm 3.51-3.57
Pr (0.4176, 0.4174, 0.9178)  5 Pr 3.31-3.58, 1 Tl 3.37, 4 Sm 3.51-3.57
Pr (0.9178, 0.9174, 0.4176)  5 Pr 3.31-3.58, 1 Tl 3.37, 4 Sm 3.51-3.57
Pr (0.5824, 0.5826, 0.0822)  5 Pr 3.31-3.58, 1 Tl 3.37, 4 Sm 3.51-3.57
Pr (0.1515, 0.7145, 0.0063)  2 Tl 3.42-3.48, 6 Pr 3.51-3.64, 1 Sm 3.69
Pr (0.9937, 0.7855, 0.8485)  2 Tl 3.42-3.48, 6 Pr 3.51-3.64, 1 Sm 3.69
Pr (0.8485, 0.2855, 0.9937)  2 Tl 3.42-3.48, 6 Pr 3.51-3.64, 1 Sm 3.69
Pr (0.0063, 0.2145, 0.1515)  2 Tl 3.42-3.48, 6 Pr 3.51-3.64, 1 Sm 3.69
Sm (0.1736, 0.5873, 0.3268)  3 Sm 3.43-3.58, 6 Pr 3.51-3.69
Sm (0.6732, 0.9127, 0.8264)  3 Sm 3.43-3.58, 6 Pr 3.51-3.69
Sm (0.8264, 0.4127, 0.6732)  3 Sm 3.43-3.58, 6 Pr 3.51-3.69
Sm (0.3268, 0.0873, 0.1736)  3 Sm 3.43-3.58, 6 Pr 3.51-3.69
Tl (0.7507, 0.7500, 0.2493)  10 Pr 3.37-3.49
Tl (0.2493, 0.2500, 0.7507)  10 Pr 3.37-3.49

D(E_F), states/eV/atom: 1.301
Crystal system: monoclinic



Run b
This record from the Alexandria database describes a relaxed Pr6Sm2Tl crystal. The functional is PBE.

Unit cell a=3.4966 b=9.9818 c=12.2234 alpha=114.10 beta=124.70 gamma=90.00
Last column: nearest neighbours and their distance in Å.
Atoms (fractional coordinates):
Pr (0.1605, 0.3287, 0.3272)  5 Pr 3.26-3.50
Pr (0.8395, 0.0014, 0.6728)  5 Pr 3.26-3.50
Pr (0.8395, 0.6713, 0.6728)  5 Pr 3.26-3.50
Pr (0.5000, 0.3228, 0.0000)  5 Pr 3.26-3.54
Pr (0.1605, 0.9986, 0.3272)  5 Pr 3.26-3.50
Pr (0.5000, 0.6772, 0.0000)  5 Pr 3.26-3.54
Sm (0.6660, 0.6664, 0.3329)  2 Sm 3.50, 12 Pr 3.76-3.83
Sm (0.3340, 0.3336, 0.6671)  2 Sm 3.50, 12 Pr 3.76-3.83
Tl (0.0000, 0.0000, 0.0000)  2 Tl 3.50, 12 Pr 3.67-3.75

D(E_F), states/eV/atom: 1.603
Crystal system: monoclinic



Energy ordering: run a at the bottom, the next structure 35 meV/atom above.



Run a
This record from the Alexandria database describes a relaxed Pr5Sm2Tl crystal. The functional is PBE.

Unit cell a=5.0501 b=7.2853 c=14.6492 alpha=90.00 beta=90.00 gamma=90.00
Last column: nearest neighbours and their distance in Å.
Atoms (fractional coordinates):
Pr (0.0000, 0.0000, 0.0000)  4 Sm 3.59, 6 Pr 3.61-3.81, 2 Tl 3.64
Pr (0.0000, 0.5000, 0.5000)  4 Sm 3.59, 6 Pr 3.61-3.81, 2 Tl 3.64
Pr (0.0000, 0.5029, 0.7597)  1 Tl 3.52, 4 Sm 3.56-3.72, 7 Pr 3.56-3.81
Pr (0.0000, 0.4971, 0.2403)  1 Tl 3.52, 4 Sm 3.56-3.72, 7 Pr 3.56-3.81
Pr (0.0000, 0.9971, 0.2597)  1 Tl 3.52, 4 Sm 3.56-3.72, 7 Pr 3.56-3.81
Pr (0.0000, 0.0029, 0.7403)  1 Tl 3.52, 4 Sm 3.56-3.72, 7 Pr 3.56-3.81
Pr (0.5000, 0.2513, 0.8763)  6 Pr 3.56-3.69, 4 Sm 3.59-3.73, 2 Tl 3.60
Pr (0.5000, 0.7487, 0.1237)  6 Pr 3.56-3.69, 4 Sm 3.59-3.73, 2 Tl 3.60
Pr (0.5000, 0.2487, 0.3763)  6 Pr 3.56-3.69, 4 Sm 3.59-3.73, 2 Tl 3.60
Pr (0.5000, 0.7513, 0.6237)  6 Pr 3.56-3.69, 4 Sm 3.59-3.73, 2 Tl 3.60
Sm (0.5000, 0.2505, 0.6216)  10 Pr 3.56-3.73, 2 Tl 3.59
Sm (0.5000, 0.7495, 0.3784)  10 Pr 3.56-3.73, 2 Tl 3.59
Sm (0.5000, 0.2495, 0.1216)  10 Pr 3.56-3.73, 2 Tl 3.59
Sm (0.5000, 0.7505, 0.8784)  10 Pr 3.56-3.73, 2 Tl 3.59
Tl (0.0000, 0.0000, 0.5000)  8 Pr 3.52-3.64, 4 Sm 3.59
Tl (0.0000, 0.5000, 0.0000)  8 Pr 3.52-3.64, 4 Sm 3.59

D(E_F), states/eV/atom: 1.473
Crystal system: orthorhombic



Run b
This record from the Alexandria database describes a relaxed Pr5Sm2Tl crystal. The functional is PBE.

Unit cell a=3.5621 b=11.4306 c=8.9536 alpha=129.67 beta=101.47 gamma=90.00
Last column: nearest neighbours and their distance in Å.
Atoms (fractional coordinates):
Pr (0.0000, 0.5000, 0.0000)  10 Pr 3.56-3.69, 2 Sm 3.57
Pr (0.6299, 0.3917, 0.2599)  1 Sm 3.29, 5 Pr 3.46-3.67
Pr (0.3701, 0.6083, 0.7401)  1 Sm 3.29, 5 Pr 3.46-3.67
Pr (0.6299, 0.8682, 0.2599)  1 Sm 3.29, 5 Pr 3.46-3.67
Pr (0.3701, 0.1318, 0.7401)  1 Sm 3.29, 5 Pr 3.46-3.67
Sm (0.2678, 0.7678, 0.5356)  3 Pr 3.29-3.57, 2 Sm 3.56, 2 Tl 3.57
Sm (0.7322, 0.2322, 0.4644)  3 Pr 3.29-3.57, 2 Sm 3.56, 2 Tl 3.57
Tl (0.0000, 0.0000, 0.0000)  2 Tl 3.56, 4 Sm 3.57, 8 Pr 3.89

D(E_F), states/eV/atom: 1.252
Crystal system: orthorhombic



Energy ordering: run a at the bottom, the next structure 45 meV/atom above.



Run a
This record from the Alexandria database describes a relaxed Pr6SmTl crystal. The functional is PBE.

Unit cell a=5.0783 b=5.0783 c=10.4975 alpha=90.00 beta=90.00 gamma=90.00
Last column: nearest neighbours and their distance in Å.
Atoms (fractional coordinates):
Pr (0.5000, 0.5000, 0.0000)  4 Tl 3.59, 8 Pr 3.60
Pr (0.5000, 0.5000, 0.5000)  4 Sm 3.59, 8 Pr 3.71
Pr (0.5000, 0.0000, 0.2429)  8 Pr 3.59-3.71, 2 Tl 3.60, 2 Sm 3.71
Pr (0.5000, 0.0000, 0.7571)  8 Pr 3.59-3.71, 2 Tl 3.60, 2 Sm 3.71
Pr (0.0000, 0.5000, 0.2429)  8 Pr 3.59-3.71, 2 Tl 3.60, 2 Sm 3.71
Pr (0.0000, 0.5000, 0.7571)  8 Pr 3.59-3.71, 2 Tl 3.60, 2 Sm 3.71
Sm (0.0000, 0.0000, 0.5000)  12 Pr 3.59-3.71
Tl (0.0000, 0.0000, 0.0000)  12 Pr 3.59-3.60

D(E_F), states/eV/atom: 1.155
Crystal system: tetragonal



Run b
This record from the Alexandria database describes a relaxed Pr6SmTl crystal. The functional is PBE.

Unit cell a=6.5715 b=6.5715 c=10.0785 alpha=120.20 beta=120.20 gamma=98.19
Last column: nearest neighbours and their distance in Å.
Atoms (fractional coordinates):
Pr (0.4510, 0.4510, 0.7975)  1 Tl 3.33, 7 Pr 3.39-3.69, 1 Sm 3.42
Pr (0.7465, 0.1392, 0.2757)  4 Pr 3.39-3.69, 1 Tl 3.57, 1 Sm 3.72
Pr (0.5490, 0.5490, 0.2025)  1 Tl 3.33, 7 Pr 3.39-3.69, 1 Sm 3.42
Pr (0.8608, 0.2535, 0.7243)  4 Pr 3.39-3.69, 1 Tl 3.57, 1 Sm 3.72
Pr (0.2535, 0.8608, 0.7243)  4 Pr 3.39-3.69, 1 Tl 3.57, 1 Sm 3.72
Pr (0.1392, 0.7465, 0.2757)  4 Pr 3.39-3.69, 1 Tl 3.57, 1 Sm 3.72
Sm (0.0000, 0.0000, 0.0000)  2 Tl 3.26, 2 Pr 3.42
Tl (0.5000, 0.5000, 0.5000)  2 Sm 3.26, 6 Pr 3.33-3.57

D(E_F), states/eV/atom: 1.240
Crystal system: monoclinic



Energy ordering: run a at the bottom, the next structure 68 meV/atom above.



Run a
This record from the Alexandria database describes a relaxed PrSmTl4 crystal. The functional is PBE.

Unit cell a=6.4120 b=6.3189 c=5.0824 alpha=67.66 beta=67.23 gamma=89.21
Last column: nearest neighbours and their distance in Å.
Atoms (fractional coordinates):
Pr (0.5012, 0.4973, 0.9982)  6 Tl 3.26-3.30
Sm (0.0014, 0.9972, 0.4982)  6 Tl 3.25-3.29
Tl (0.6515, 0.9763, 0.1840)  3 Tl 3.13-3.14, 2 Sm 3.25-3.29, 1 Pr 3.30
Tl (0.3512, 0.0185, 0.8122)  3 Tl 3.13-3.14, 2 Sm 3.25-3.29, 1 Pr 3.30
Tl (0.1473, 0.4806, 0.6837)  3 Tl 3.09-3.13, 2 Pr 3.26-3.30, 1 Sm 3.27
Tl (0.8552, 0.5139, 0.3126)  3 Tl 3.09-3.13, 2 Pr 3.26-3.30, 1 Sm 3.27

D(E_F), states/eV/atom: 0.403
Crystal system: triclinic



Run b
This record from the Alexandria database describes a relaxed PrSmTl4 crystal. The functional is PBE.

Unit cell a=6.2638 b=6.2638 c=6.2638 alpha=60.00 beta=60.00 gamma=60.00
Last column: nearest neighbours and their distance in Å.
Atoms (fractional coordinates):
Pr (0.2500, 0.2500, 0.2500)  12 Tl 3.67, 4 Sm 3.84
Tl (0.6250, 0.6250, 0.1249)  6 Tl 3.13
Tl (0.6250, 0.1249, 0.6250)  6 Tl 3.13
Tl (0.6250, 0.6250, 0.6250)  6 Tl 3.13
Tl (0.1249, 0.6250, 0.6250)  6 Tl 3.13
Sm (0.0000, 0.0000, 0.0000)  12 Tl 3.67, 4 Pr 3.84

D(E_F), states/eV/atom: 0.900
Crystal system: cubic



Energy ordering: run a at the bottom, the next structure 138 meV/atom above.



Run a
This record from the Alexandria database describes a relaxed PrSmYTl crystal. The functional is PBE.

Unit cell a=5.0628 b=4.8791 c=4.9061 alpha=90.00 beta=90.00 gamma=90.00
Last column: nearest neighbours and their distance in Å.
Atoms (fractional coordinates):
Pr (0.5000, 0.5000, 0.0000)  4 Sm 3.46, 4 Y 3.52, 4 Tl 3.52
Sm (0.5000, 0.0000, 0.5000)  4 Pr 3.46, 4 Tl 3.52, 4 Y 3.52
Y (0.0000, 0.0000, 0.0000)  4 Tl 3.46, 4 Pr 3.52, 4 Sm 3.52
Tl (0.0000, 0.5000, 0.5000)  4 Y 3.46, 4 Sm 3.52, 4 Pr 3.52

D(E_F), states/eV/atom: 1.456
Crystal system: orthorhombic



Run b
This record from the Alexandria database describes a relaxed PrSmYTl crystal. The functional is PBE.

Unit cell a=5.5953 b=5.5953 c=5.5953 alpha=60.00 beta=60.00 gamma=60.00
Last column: nearest neighbours and their distance in Å.
Atoms (fractional coordinates):
Pr (0.2500, 0.2500, 0.2500)  4 Tl 3.43, 4 Y 3.43
Y (0.0000, 0.0000, 0.0000)  4 Pr 3.43, 4 Sm 3.43
Tl (0.5000, 0.5000, 0.5000)  4 Sm 3.43, 4 Pr 3.43
Sm (0.7500, 0.7500, 0.7500)  4 Tl 3.43, 4 Y 3.43

D(E_F), states/eV/atom: 1.368
Crystal system: cubic



Energy ordering: run a at the bottom, the next structure 147 meV/atom above.